1.
DFT (PBE) results for AlP3O after structural relaxation.

Calculated values
volume: 19.21 Å³/atom
symmetry: Pm-3m (221)
E above lowest polymorph: 0.723 eV per atom
energy relative to the elements, uncorrected: 1.176 eV/atom

Cell and atoms, written as extended XYZ:
```
5
Lattice="4.580 0.000 0.000 0.000 4.580 0.000 0.000 0.000 4.580" Properties=species:S:1:pos:R:3 pbc="T T T"
Al 0.000 0.000 0.000
P 0.000 0.000 2.290
P 0.000 2.290 0.000
P 2.290 0.000 0.000
O 2.290 2.290 2.290
```



2.
DFT (PBE) results for AlP2O2 after structural relaxation.

Calculated values
volume: 14.17 Å³/atom
symmetry: P4/mmm (123)
E above lowest polymorph: 1.140 eV per atom
energy relative to the elements, uncorrected: 0.409 eV/atom

Cell and atoms, written as extended XYZ:
```
5
Lattice="3.616 0.000 0.000 0.000 3.616 0.000 0.000 0.000 5.420" Properties=species:S:1:pos:R:3 pbc="T T T"
Al 0.000 0.000 0.000
P 0.000 1.808 2.710
P 1.808 0.000 2.710
O 1.808 1.808 0.000
O 1.808 1.808 2.710
```



3.
DFT (PBE) results for AlPO4 after structural relaxation.

Calculated values
volume: 10.02 Å³/atom
symmetry: Cmcm (63)
energy relative to the elements, uncorrected: -2.548 eV/atom

Cell and atoms, written as extended XYZ:
```
12
Lattice="2.574 -3.828 0.000 2.574 3.828 0.000 0.000 0.000 6.099" Properties=species:S:1:pos:R:3 pbc="T T T"
Al 0.000 0.000 0.000
Al 0.000 0.000 3.050
P 2.574 1.185 4.574
P 2.574 -1.185 1.525
O 1.291 0.256 4.574
O 2.574 2.030 3.314
O 2.574 2.030 5.835
O 1.291 -0.256 1.525
O 3.858 0.256 4.574
O 2.574 -2.030 0.265
O 2.574 -2.030 2.785
O 3.858 -0.256 1.525
```



4.
DFT (PBE) results for AlPO4 after structural relaxation.

Calculated values
volume: 16.16 Å³/atom
symmetry: P2_1 (4)
energy relative to the elements, uncorrected: -2.652 eV/atom

Cell and atoms, written as extended XYZ:
```
12
Lattice="5.090 0.000 0.000 0.000 8.472 0.000 -2.540 0.000 4.496" Properties=species:S:1:pos:R:3 pbc="T T T"
Al 0.379 0.000 1.472
Al 2.171 4.236 3.024
P -0.377 3.174 1.484
P 2.927 7.410 3.012
O -1.022 7.562 1.994
O -1.678 7.896 4.387
O 0.018 1.699 1.409
O 0.835 4.019 1.914
O 1.715 8.255 2.582
O 2.533 5.935 3.087
O 4.229 3.660 0.109
O 3.572 3.326 2.502
```



5.
DFT (PBE) results for AlPO after structural relaxation.

Calculated values
volume: 12.17 Å³/atom
symmetry: P4/mmm (123)
E above lowest polymorph: 0.258 eV per atom
energy relative to the elements, uncorrected: -1.410 eV/atom

Cell and atoms, written as extended XYZ:
```
3
Lattice="2.678 0.000 0.000 0.000 2.678 0.000 0.000 0.000 5.090" Properties=species:S:1:pos:R:3 pbc="T T T"
Al 0.000 0.000 0.000
P 0.000 0.000 2.545
O 1.339 1.339 0.000
```



6.
DFT (PBE) results for AlP2PdO after structural relaxation.

Calculated values
volume: 17.55 Å³/atom
symmetry: P4/mmm (123)
E above lowest polymorph: 0.610 eV per atom
energy relative to the elements, uncorrected: 0.473 eV/atom

Cell and atoms, written as extended XYZ:
```
5
Lattice="4.814 0.000 0.000 0.000 4.814 0.000 0.000 0.000 3.786" Properties=species:S:1:pos:R:3 pbc="T T T"
Al 0.000 0.000 0.000
P 0.000 2.407 1.893
P 2.407 0.000 1.893
Pd 2.407 2.407 1.893
O 2.407 2.407 0.000
```